LaSc2Fe PBE optimized geometry; total magnetization = 0.305 μB/atom; ΔH_f (0 K) = 0.314 eV/atom; E above lowest polymorph = 349.6 meV per atom; electronic total energy = -6.20 eV/atom; space-group type = I4/mmm (139)
1.0
4.2769 0.0000 0.0000
0.0000 4.2769 0.0000
0.0000 0.0000 9.9333
La Sc Fe
2 4 2
direct
0.0000 0.0000 0.0000
0.5000 0.5000 0.5000
0.0000 0.5000 0.2500
0.0000 0.5000 0.7500
0.5000 0.0000 0.2500
0.5000 0.0000 0.7500
0.0000 0.0000 0.5000
0.5000 0.5000 0.0000